The following is a PBE calculation of an optimized crystal structure of ZnSiBi2O, from Alexandria via LeMat-Bulk.

```
ZnSiBi2O
1.0
5.161 0.000 0.000
0.000 5.161 0.000
0.000 0.000 4.036
Zn Si Bi O
1 1 2 1
Direct
0.000 0.000 0.000 Zn
0.500 0.500 0.000 Si
0.000 0.500 0.500 Bi
0.500 0.000 0.500 Bi
0.000 0.000 0.500 O
```

- E (eV per atom) = -3.825
- space group = P4/mmm
- M_tot (μB/cell) = 0.00
- formation energy (no corrections) (eV per atom) = 0.0582

***

The following is a PBE calculation of an optimized crystal structure of ZrSi2BiO8, from Alexandria via LeMat-Bulk.

```
ZrSi2BiO8
1.0
-3.425 3.425 3.083
3.425 -3.425 3.083
3.425 3.425 -3.083
Zr Si Bi O
1 2 1 8
Direct
0.000 0.000 0.000 Zr
0.250 0.750 0.500 Si
0.500 0.500 0.000 Si
0.750 0.250 0.500 Bi
0.080 0.393 0.313 O
0.080 0.766 0.687 O
0.142 0.315 0.827 O
0.234 0.920 0.313 O
0.488 0.315 0.173 O
0.607 0.920 0.687 O
0.685 0.512 0.827 O
0.685 0.858 0.173 O
```

- E (eV per atom) = -7.677
- space group = I-4m2
- M_tot (μB/cell) = 0.00
- formation energy (no corrections) (eV per atom) = -2.4323

***

The following is a PBE calculation of an optimized crystal structure of Sm4Bi3O2, from Alexandria via LeMat-Bulk.

```
Sm4Bi3O2
1.0
7.139 -5.095 0.000
7.139 5.095 0.000
-0.661 0.000 6.604
Sm Bi O
8 6 4
Direct
0.083 0.668 0.988 Sm
0.231 0.381 0.414 Sm
0.332 0.917 0.512 Sm
0.381 0.231 0.914 Sm
0.619 0.769 0.086 Sm
0.668 0.083 0.488 Sm
0.769 0.619 0.586 Sm
0.917 0.332 0.012 Sm
0.032 0.767 0.484 Bi
0.233 0.968 0.016 Bi
0.479 0.521 0.750 Bi
0.521 0.479 0.250 Bi
0.767 0.032 0.984 Bi
0.968 0.233 0.516 Bi
0.153 0.402 0.077 O
0.402 0.153 0.577 O
0.598 0.847 0.423 O
0.847 0.598 0.923 O
```

- E (eV per atom) = -6.240
- space group = C2/c
- M_tot (μB/cell) = 0.00
- formation energy (no corrections) (eV per atom) = -1.7466

***

The following is a PBE calculation of an optimized crystal structure of Sm5Bi4O, from Alexandria via LeMat-Bulk.

```
Sm5Bi4O
1.0
-4.884 4.884 3.209
4.884 -4.884 3.209
4.884 4.884 -3.209
Sm Bi O
5 4 1
Direct
0.000 0.000 0.000 Sm
0.135 0.308 0.630 Sm
0.308 0.678 0.173 Sm
0.506 0.135 0.827 Sm
0.678 0.506 0.370 Sm
0.210 0.993 0.392 Bi
0.601 0.818 0.608 Bi
0.818 0.210 0.218 Bi
0.993 0.601 0.782 Bi
0.342 0.342 0.000 O
```

- E (eV per atom) = -5.537
- space group = I4
- M_tot (μB/cell) = 0.00
- formation energy (no corrections) (eV per atom) = -1.1295

***

The following is a PBE calculation of an optimized crystal structure of Sm3Bi5O12, from Alexandria via LeMat-Bulk.

```
Sm3Bi5O12
1.0
9.608 0.000 0.000
-3.187 9.079 0.000
-3.198 -4.520 7.889
Sm Bi O
6 10 24
Direct
0.000 0.000 0.000 Sm
0.002 0.503 0.499 Sm
0.499 0.503 0.002 Sm
0.504 0.006 0.502 Sm
0.534 0.786 0.753 Sm
0.721 0.253 0.970 Sm
0.030 0.281 0.751 Bi
0.221 0.254 0.472 Bi
0.250 0.529 0.283 Bi
0.254 0.032 0.780 Bi
0.279 0.749 0.026 Bi
0.475 0.225 0.251 Bi
0.749 0.473 0.723 Bi
0.750 0.973 0.219 Bi
0.779 0.755 0.531 Bi
0.976 0.724 0.253 Bi
0.018 0.968 0.239 O
0.041 0.554 0.769 O
0.056 0.775 0.528 O
0.223 0.952 0.981 O
0.231 0.270 0.220 O
0.234 0.787 0.275 O
0.256 0.481 0.028 O
0.273 0.537 0.546 O
0.279 0.267 0.732 O
0.466 0.996 0.733 O
0.474 0.246 0.520 O
0.481 0.724 0.951 O
0.519 0.278 0.046 O
0.545 0.777 0.502 O
0.553 0.024 0.282 O
0.716 0.740 0.272 O
0.728 0.504 0.959 O
0.731 0.468 0.446 O
0.758 0.733 0.779 O
0.772 0.042 0.006 O
0.772 0.230 0.744 O
0.953 0.233 0.462 O
0.973 0.452 0.226 O
0.986 0.036 0.764 O
```

- E (eV per atom) = -6.682
- space group = P1
- M_tot (μB/cell) = 0.00
- formation energy (no corrections) (eV per atom) = -2.0287

***

The following is a PBE calculation of an optimized crystal structure of Sm4Bi3O, from Alexandria via LeMat-Bulk.

```
Sm4Bi3O
1.0
12.463 0.000 0.000
0.000 6.401 0.000
0.000 0.000 6.402
Sm Bi O
8 6 2
Direct
0.000 0.150 0.000 Sm
0.000 0.746 0.401 Sm
0.249 0.759 0.002 Sm
0.251 0.241 0.502 Sm
0.500 0.254 0.901 Sm
0.500 0.850 0.500 Sm
0.749 0.241 0.502 Sm
0.751 0.759 0.002 Sm
0.000 0.245 0.499 Bi
0.249 0.259 0.003 Bi
0.251 0.741 0.503 Bi
0.500 0.755 0.999 Bi
0.749 0.741 0.503 Bi
0.751 0.259 0.003 Bi
0.000 0.820 0.071 O
0.500 0.180 0.571 O
```

- E (eV per atom) = -5.675
- space group = Pmn2_1
- M_tot (μB/cell) = 0.00
- formation energy (no corrections) (eV per atom) = -1.2400

***

The following is a PBE calculation of an optimized crystal structure of Sm4Bi6O19, from Alexandria via LeMat-Bulk.

```
Sm4Bi6O19
1.0
-4.895 4.895 4.895
4.895 -4.895 4.895
4.895 4.895 -4.895
Sm Bi O
4 6 19
Direct
0.000 0.000 0.288 Sm
0.000 0.288 0.000 Sm
0.288 0.000 0.000 Sm
0.712 0.712 0.712 Sm
0.174 0.500 0.674 Bi
0.326 0.826 0.500 Bi
0.500 0.326 0.826 Bi
0.500 0.674 0.174 Bi
0.674 0.174 0.500 Bi
0.826 0.500 0.326 Bi
0.000 0.000 0.000 O
0.000 0.354 0.354 O
0.000 0.646 0.646 O
0.024 0.760 0.340 O
0.240 0.264 0.580 O
0.264 0.580 0.240 O
0.316 0.736 0.976 O
0.340 0.024 0.760 O
0.354 0.000 0.354 O
0.354 0.354 0.000 O
0.420 0.684 0.660 O
0.580 0.240 0.264 O
0.646 0.000 0.646 O
0.646 0.646 0.000 O
0.660 0.420 0.684 O
0.684 0.660 0.420 O
0.736 0.976 0.316 O
0.760 0.340 0.024 O
0.976 0.316 0.736 O
```

- E (eV per atom) = -6.364
- space group = I23
- M_tot (μB/cell) = 0.00
- formation energy (no corrections) (eV per atom) = -1.6613

***

The following is a PBE calculation of an optimized crystal structure of SmBiO, from Alexandria via LeMat-Bulk.

```
SmBiO
1.0
1.842 1.064 6.689
-1.842 1.064 6.689
0.000 -2.127 6.689
Sm Bi O
1 1 1
Direct
0.000 0.000 0.000 Sm
0.814 0.814 0.814 Bi
0.636 0.636 0.636 O
```

- E (eV per atom) = -6.301
- space group = R3m
- M_tot (μB/cell) = 0.00
- formation energy (no corrections) (eV per atom) = -1.7813

***

The following is a PBE calculation of an optimized crystal structure of Sm3Bi2O, from Alexandria via LeMat-Bulk.

```
Sm3Bi2O
1.0
5.752 -4.372 0.000
5.752 4.372 0.000
0.000 0.000 6.530
Sm Bi O
6 4 2
Direct
0.158 0.842 0.500 Sm
0.347 0.347 0.249 Sm
0.347 0.347 0.749 Sm
0.653 0.653 0.249 Sm
0.653 0.653 0.749 Sm
0.842 0.158 0.000 Sm
0.031 0.671 0.999 Bi
0.329 0.969 0.999 Bi
0.671 0.031 0.499 Bi
0.969 0.329 0.499 Bi
0.426 0.574 0.499 O
0.574 0.426 0.999 O
```

- E (eV per atom) = -5.852
- space group = Cmc2_1
- M_tot (μB/cell) = 0.00
- formation energy (no corrections) (eV per atom) = -1.3726

***

The following is a PBE calculation of an optimized crystal structure of SmBiO, from Alexandria via LeMat-Bulk.

```
SmBiO
1.0
3.924 0.000 0.000
-1.962 3.399 0.000
0.000 0.000 10.757
Sm Bi O
2 2 2
Direct
0.333 0.667 0.363 Sm
0.667 0.333 0.637 Sm
0.333 0.667 0.896 Bi
0.667 0.333 0.104 Bi
0.333 0.667 0.583 O
0.667 0.333 0.417 O
```

- E (eV per atom) = -6.386
- space group = P-3m1
- M_tot (μB/cell) = 0.00
- formation energy (no corrections) (eV per atom) = -1.8661

***

The following is a PBE calculation of an optimized crystal structure of Sm3Bi5O12, from Alexandria via LeMat-Bulk.

```
Sm3Bi5O12
1.0
-6.965 6.965 6.965
6.965 -6.965 6.965
6.965 6.965 -6.965
Sm Bi O
12 20 48
Direct
0.125 0.250 0.375 Sm
0.125 0.375 0.750 Sm
0.250 0.375 0.125 Sm
0.250 0.875 0.625 Sm
0.375 0.125 0.250 Sm
0.375 0.750 0.125 Sm
0.625 0.250 0.875 Sm
0.625 0.875 0.750 Sm
0.750 0.125 0.375 Sm
0.750 0.625 0.875 Sm
0.875 0.625 0.250 Sm
0.875 0.750 0.625 Sm
0.000 0.000 0.000 Bi
0.000 0.000 0.500 Bi
0.000 0.500 0.000 Bi
0.000 0.500 0.500 Bi
0.125 0.750 0.875 Bi
0.125 0.875 0.250 Bi
0.250 0.125 0.875 Bi
0.250 0.625 0.375 Bi
0.375 0.250 0.625 Bi
0.375 0.625 0.750 Bi
0.500 0.000 0.000 Bi
0.500 0.000 0.500 Bi
0.500 0.500 0.000 Bi
0.500 0.500 0.500 Bi
0.625 0.375 0.250 Bi
0.625 0.750 0.375 Bi
0.750 0.375 0.625 Bi
0.750 0.875 0.125 Bi
0.875 0.125 0.750 Bi
0.875 0.250 0.125 Bi
0.053 0.226 0.136 O
0.053 0.327 0.917 O
0.083 0.636 0.411 O
0.083 0.947 0.673 O
0.089 0.726 0.673 O
0.089 0.864 0.417 O
0.136 0.053 0.226 O
0.136 0.583 0.911 O
0.173 0.226 0.589 O
0.173 0.447 0.583 O
0.226 0.136 0.053 O
0.226 0.589 0.173 O
0.274 0.327 0.911 O
0.274 0.447 0.364 O
0.327 0.911 0.274 O
0.327 0.917 0.053 O
0.364 0.274 0.447 O
0.364 0.589 0.917 O
0.411 0.083 0.636 O
0.411 0.827 0.774 O
0.417 0.089 0.864 O
0.417 0.827 0.553 O
0.447 0.364 0.274 O
0.447 0.583 0.173 O
0.553 0.417 0.827 O
0.553 0.636 0.726 O
0.583 0.173 0.447 O
0.583 0.911 0.136 O
0.589 0.173 0.226 O
0.589 0.917 0.364 O
0.636 0.411 0.083 O
0.636 0.726 0.553 O
0.673 0.083 0.947 O
0.673 0.089 0.726 O
0.726 0.553 0.636 O
0.726 0.673 0.089 O
0.774 0.411 0.827 O
0.774 0.864 0.947 O
0.827 0.553 0.417 O
0.827 0.774 0.411 O
0.864 0.417 0.089 O
0.864 0.947 0.774 O
0.911 0.136 0.583 O
0.911 0.274 0.327 O
0.917 0.053 0.327 O
0.917 0.364 0.589 O
0.947 0.673 0.083 O
0.947 0.774 0.864 O
```

- E (eV per atom) = -6.513
- space group = Ia-3d
- M_tot (μB/cell) = 0.00
- formation energy (no corrections) (eV per atom) = -1.8597

***

The following is a PBE calculation of an optimized crystal structure of SrSmBi2O8, from Alexandria via LeMat-Bulk.

```
SrSmBi2O8
1.0
-2.797 2.797 5.729
2.797 -2.797 5.729
2.797 2.797 -5.729
Sr Sm Bi O
1 1 2 8
Direct
0.000 0.000 0.000 Sr
0.250 0.750 0.500 Sm
0.500 0.500 0.000 Bi
0.750 0.250 0.500 Bi
0.052 0.104 0.471 O
0.213 0.648 0.060 O
0.352 0.412 0.566 O
0.419 0.948 0.052 O
0.588 0.153 0.940 O
0.633 0.581 0.529 O
0.847 0.787 0.434 O
0.896 0.367 0.948 O
```

- E (eV per atom) = -6.106
- space group = I-4
- M_tot (μB/cell) = 1.11
- formation energy (no corrections) (eV per atom) = -1.6203

***

The following is a PBE calculation of an optimized crystal structure of SrSm2BiO6, from Alexandria via LeMat-Bulk.

```
SrSm2BiO6
1.0
3.033 1.751 5.242
-3.033 1.751 5.242
0.000 -3.503 5.242
Sr Sm Bi O
1 2 1 6
Direct
0.000 0.000 0.000 Sr
0.273 0.273 0.273 Sm
0.777 0.777 0.777 Sm
0.485 0.485 0.485 Bi
0.097 0.646 0.412 O
0.181 0.576 0.879 O
0.412 0.097 0.646 O
0.576 0.879 0.181 O
0.646 0.412 0.097 O
0.879 0.181 0.576 O
```

- E (eV per atom) = -7.038
- space group = R3
- M_tot (μB/cell) = 1.03
- formation energy (no corrections) (eV per atom) = -2.5632

***

The following is a PBE calculation of an optimized crystal structure of SmTaBiO6, from Alexandria via LeMat-Bulk.

```
SmTaBiO6
1.0
5.091 0.000 0.000
0.000 5.091 0.000
0.000 0.000 10.248
Sm Ta Bi O
2 2 2 12
Direct
0.000 0.000 0.000 Sm
0.500 0.500 0.500 Sm
0.000 0.000 0.666 Ta
0.500 0.500 0.166 Ta
0.000 0.000 0.331 Bi
0.500 0.500 0.831 Bi
0.181 0.181 0.517 O
0.186 0.186 0.813 O
0.219 0.219 0.171 O
0.281 0.719 0.671 O
0.314 0.686 0.313 O
0.319 0.681 0.017 O
0.681 0.319 0.017 O
0.686 0.314 0.313 O
0.719 0.281 0.671 O
0.781 0.781 0.171 O
0.814 0.814 0.813 O
0.819 0.819 0.517 O
```

- E (eV per atom) = -7.955
- space group = P4_2nm
- M_tot (μB/cell) = 0.00
- formation energy (no corrections) (eV per atom) = -2.3766

***

The following is a PBE calculation of an optimized crystal structure of TbSmBiO2, from Alexandria via LeMat-Bulk.

```
TbSmBiO2
1.0
-1.970 1.970 6.883
1.970 -1.970 6.883
1.970 1.970 -6.883
Tb Sm Bi O
1 1 1 2
Direct
0.000 0.000 0.000 Tb
0.665 0.665 0.000 Sm
0.333 0.333 0.000 Bi
0.079 0.579 0.500 O
0.579 0.079 0.500 O
```

- E (eV per atom) = -7.273
- space group = I4mm
- M_tot (μB/cell) = 0.00
- formation energy (no corrections) (eV per atom) = -2.6441

***

The following is a PBE calculation of an optimized crystal structure of TbSmBi2O6, from Alexandria via LeMat-Bulk.

```
TbSmBi2O6
1.0
3.045 1.758 5.119
-3.045 1.758 5.119
0.000 -3.516 5.119
Tb Sm Bi O
1 1 2 6
Direct
0.000 0.000 0.000 Tb
0.503 0.503 0.503 Sm
0.287 0.287 0.287 Bi
0.787 0.787 0.787 Bi
0.124 0.361 0.683 O
0.176 0.869 0.626 O
0.361 0.683 0.124 O
0.626 0.176 0.869 O
0.683 0.124 0.361 O
0.869 0.626 0.176 O
```

- E (eV per atom) = -7.017
- space group = R3
- M_tot (μB/cell) = 0.00
- formation energy (no corrections) (eV per atom) = -2.3312

***

The following is a PBE calculation of an optimized crystal structure of TbSm2Bi2O2, from Alexandria via LeMat-Bulk.

```
TbSm2Bi2O2
1.0
-2.203 2.203 8.359
2.203 -2.203 8.359
2.203 2.203 -8.359
Tb Sm Bi O
1 2 2 2
Direct
0.000 0.000 0.000 Tb
0.390 0.390 0.000 Sm
0.610 0.610 0.000 Sm
0.191 0.191 0.000 Bi
0.809 0.809 0.000 Bi
0.000 0.500 0.500 O
0.500 0.000 0.500 O
```

- E (eV per atom) = -6.339
- space group = I4/mmm
- M_tot (μB/cell) = 0.00
- formation energy (no corrections) (eV per atom) = -1.8041